Entry 1:
Material: MgAg2SO4
Method: DFT, PBE
State: relaxed

POSCAR file:
```
MgAg2SO4
1.0
4.367 0.000 0.000
2.145 4.489 0.000
1.579 -0.539 6.907
Mg Ag S O
1 2 1 4
direct
0.000 0.000 0.000 Mg
0.285 0.217 0.332 Ag
0.864 0.845 0.501 Ag
0.707 0.641 0.793 S
0.350 0.659 0.805 O
0.638 0.859 0.965 O
0.855 0.128 0.276 O
0.944 0.331 0.828 O
```

Properties
Uncorrected formation energy in meV per atom: -1126
Energy in eV/atom: -5.0329

---

Entry 2:
Material: MgAgSO4
Method: DFT, PBE
State: relaxed

POSCAR file:
```
MgAgSO4
1.0
-2.542 3.283 7.340
2.542 -3.283 7.340
2.542 3.283 -7.340
Mg Ag S O
2 2 2 8
direct
0.000 0.000 0.000 Mg
0.500 0.000 0.500 Mg
0.500 0.000 0.000 Ag
0.500 0.500 0.500 Ag
0.179 0.429 0.750 S
0.821 0.571 0.250 S
0.061 0.621 0.440 O
0.241 0.242 0.501 O
0.241 0.740 0.999 O
0.319 0.379 0.940 O
0.681 0.621 0.060 O
0.759 0.260 0.001 O
0.759 0.758 0.499 O
0.939 0.379 0.560 O
```

Properties
Uncorrected formation energy in meV per atom: -1269
Energy in eV/atom: -5.3271

---

Entry 3:
Material: MgAgS2O8
Method: DFT, PBE
State: relaxed

POSCAR file:
```
MgAgS2O8
1.0
2.422 1.398 7.400
-2.422 1.398 7.400
0.000 -2.796 7.400
Mg Ag S O
1 1 2 8
direct
0.000 0.000 0.000 Mg
0.500 0.500 0.500 Ag
0.256 0.256 0.256 S
0.744 0.744 0.744 S
0.002 0.422 0.747 O
0.188 0.188 0.188 O
0.253 0.998 0.578 O
0.422 0.747 0.002 O
0.578 0.253 0.998 O
0.747 0.002 0.422 O
0.812 0.812 0.812 O
0.998 0.578 0.253 O
```

Properties
Uncorrected formation energy in meV per atom: -1343
Energy in eV/atom: -5.7069

---

Entry 4:
Material: Mg2AgSbO
Method: DFT, PBE
State: relaxed

POSCAR file:
```
Mg2AgSbO
1.0
4.234 0.000 0.000
0.000 4.234 0.000
0.000 0.000 4.943
Mg Ag Sb O
2 1 1 1
direct
0.000 0.500 0.000 Mg
0.500 0.000 0.000 Mg
0.000 0.000 0.500 Ag
0.500 0.500 0.500 Sb
0.000 0.000 0.000 O
```

Properties
Uncorrected formation energy in meV per atom: -835
Energy in eV/atom: -3.8593